First-principles (PBE) data for an optimized crystal structure of BaPrCoN2, as listed in the Alexandria database.

Lattice parameters (Å, degrees): 6.036 4.999 7.186 90.00 96.30 90.00
Sites, in units of the cell vectors:
Ba (0.000, 0.071, 0.250)
Ba (0.000, 0.929, 0.750)
Pr (0.500, 0.486, 0.750)
Pr (0.500, 0.514, 0.250)
Co (0.500, 0.000, 0.000)
Co (0.500, 0.000, 0.500)
N (0.291, 0.260, 0.986)
N (0.291, 0.740, 0.486)
N (0.709, 0.260, 0.514)
N (0.709, 0.740, 0.014)

Results
**Uncorrected formation energy**: -0.5305 eV per atom
**Space group**: P2/c

First-principles (PBE) data for an optimized crystal structure of BaPu2CoN4, as listed in the Alexandria database.

Lattice parameters (Å, degrees): 6.153 6.153 11.616 90.00 90.00 146.63
Sites, in units of the cell vectors:
Ba (0.092, 0.908, 0.750)
Ba (0.908, 0.092, 0.250)
Pu (0.367, 0.633, 0.553)
Pu (0.367, 0.633, 0.947)
Pu (0.633, 0.367, 0.053)
Pu (0.633, 0.367, 0.447)
Co (0.180, 0.820, 0.250)
Co (0.820, 0.180, 0.750)
N (0.000, 0.000, 0.000)
N (0.000, 0.000, 0.500)
N (0.247, 0.753, 0.102)
N (0.247, 0.753, 0.398)
N (0.391, 0.609, 0.750)
N (0.609, 0.391, 0.250)
N (0.753, 0.247, 0.602)
N (0.753, 0.247, 0.898)

Results
**Uncorrected formation energy**: -0.9067 eV per atom
**Space group**: Cmcm

First-principles (PBE) data for an optimized crystal structure of Ba2CoReN4, as listed in the Alexandria database.

Lattice parameters (Å, degrees): 11.587 10.270 6.362 84.87 61.98 33.15
Sites, in units of the cell vectors:
Ba (0.047, 0.047, 0.703)
Ba (0.297, 0.297, 0.953)
Ba (0.703, 0.703, 0.047)
Ba (0.953, 0.953, 0.297)
Co (0.125, 0.125, 0.125)
Co (0.875, 0.875, 0.875)
Re (0.375, 0.375, 0.375)
Re (0.625, 0.625, 0.625)
N (0.010, 0.340, 0.429)
N (0.280, 0.571, 0.660)
N (0.340, 0.010, 0.720)
N (0.429, 0.720, 0.010)
N (0.571, 0.280, 0.990)
N (0.660, 0.990, 0.280)
N (0.720, 0.429, 0.340)
N (0.990, 0.660, 0.571)

Results
**Uncorrected formation energy**: -0.4353 eV per atom
**Space group**: Fddd

First-principles (PBE) data for an optimized crystal structure of Ba2CoRhN, as listed in the Alexandria database.

Lattice parameters (Å, degrees): 5.753 5.753 3.499 90.00 90.00 90.00
Sites, in units of the cell vectors:
Ba (0.000, 0.500, 0.000)
Ba (0.500, 0.000, 0.000)
Co (0.000, 0.000, 0.500)
Rh (0.500, 0.500, 0.500)
N (0.000, 0.000, 0.000)

Results
**Uncorrected formation energy**: -0.1385 eV per atom
**Space group**: P4/mmm